Crystalline Ta2TcAu at its relaxed geometry. Source: the Alexandria database, functional PBE.

## Properties
The density of states at the Fermi level comes out at 4.3 states/eV per cell. Its distance to the lowest polymorph of the same formula is 237 meV/atom. As for the total energy: -0.67863 Ry per atom. Its space-group type is P2/m, No. 10.

abc: 2.960 5.016 5.700
angles: 54.09 90.00 90.00
Element x y z (fractional)
1 Ta 0.000 0.000 0.000
2 Ta 0.500 0.500 0.000
3 Au 0.000 0.000 0.500
4 Tc 0.500 0.500 0.500